Entry 1:
Crystalline TePW2 at its relaxed geometry, computed with PBE.

Output
For the energy relative to the elements, uncorrected, the calculation gives 52 kJ/mol of atoms. The symmetry is P2/m. Its crystal system is monoclinic.

abc: 3.9436 3.7160 6.0461
angles: 98.64 90.00 90.00
Element x y z (fractional)
W: 0.0000 0.8025 0.1478
W: 0.0000 0.1975 0.8522
P: 0.5000 0.5000 0.0000
Te: 0.5000 0.0000 0.5000

Entry 2:
Crystalline Na4AcAs3O12 at its relaxed geometry, computed with PBE.

Output
For the energy relative to the elements, uncorrected, the calculation gives -126 kJ/mol of atoms. The symmetry is Im-3. Its crystal system is cubic.

abc: 6.9481 6.9481 6.9481
angles: 109.47 109.47 109.47
Last column: magnetic moment on the atom in μB.
Element x y z (fractional)
Na: 0.0000 0.5000 0.0000  0.00
Na: 0.5000 0.0000 0.0000  0.00
Na: 0.5000 0.5000 0.5000  0.00
Na: 0.0000 0.0000 0.5000  0.00
O: 0.6619 0.1493 0.8112  0.15
O: 0.1888 0.3381 0.8507  0.15
O: 0.1493 0.8112 0.6619  0.15
O: 0.8507 0.5127 0.6619  0.15
O: 0.3381 0.8507 0.1888  0.15
O: 0.6619 0.8507 0.5127  0.15
O: 0.4873 0.3381 0.1493  0.15
O: 0.5127 0.6619 0.8507  0.15
O: 0.1493 0.4873 0.3381  0.15
O: 0.3381 0.1493 0.4873  0.15
O: 0.8112 0.6619 0.1493  0.15
O: 0.8507 0.1888 0.3381  0.15
As: 0.5000 0.0000 0.5000  -0.02
As: 0.0000 0.5000 0.5000  -0.02
As: 0.5000 0.5000 0.0000  -0.02
Ac: 0.0000 0.0000 0.0000  0.00

Entry 3:
Crystalline Sm12Tl3Hg at its relaxed geometry, computed with PBE.

Output
The formation energy is -0.1892 eV per atom. The symmetry is P4/mmm. Its crystal system is tetragonal.

abc: 4.9350 4.9350 19.7036
angles: 90.00 90.00 90.00
Element x y z (fractional)
Tl: 0.0000 0.0000 0.2492
Tl: 0.0000 0.0000 0.7508
Tl: 0.0000 0.0000 0.5000
Sm: 0.5000 0.5000 0.0000
Sm: 0.5000 0.0000 0.1229
Sm: 0.5000 0.5000 0.5000
Sm: 0.5000 0.0000 0.8771
Sm: 0.5000 0.0000 0.6258
Sm: 0.0000 0.5000 0.1229
Sm: 0.5000 0.5000 0.7525
Sm: 0.0000 0.5000 0.3742
Sm: 0.0000 0.5000 0.6258
Sm: 0.5000 0.0000 0.3742
Sm: 0.0000 0.5000 0.8771
Sm: 0.5000 0.5000 0.2475
Hg: 0.0000 0.0000 0.0000

Entry 4:
Crystalline Na2ZnIn2 at its relaxed geometry, computed with PBE.

Output
The formation energy is 0.0089 eV per atom. The symmetry is I4_1/amd. Its crystal system is tetragonal.

abc: 4.9075 4.9075 11.5223
angles: 102.30 102.30 90.00
Element x y z (fractional)
Na: 0.8223 0.8223 0.6446
Na: 0.5723 0.0723 0.1446
Na: 0.1777 0.1777 0.3554
Na: 0.9277 0.4277 0.8554
In: 0.6754 0.6754 0.3509
In: 0.0746 0.5746 0.1491
In: 0.3246 0.3246 0.6491
In: 0.4254 0.9254 0.8509
Zn: 0.2500 0.7500 0.5000
Zn: 0.5000 0.5000 0.0000

no.,calculated density (g/cm³)
1,9.98
2,4.73
3,9.06
4,4.28